(1)
Compound: CrGa2BiO
Source: the Alexandria database
Functional: PBE with a Hubbard U
Structure: relaxed

abc: 5.2514 5.2514 3.7005
angles: 90.00 90.00 90.00
Space group P4/mmm (No. 123)
Inequivalent atoms, fractional coordinates:
Cr 0.0000 0.0000 0.0000 (multiplicity 1)
Ga 0.0000 0.5000 0.5000 (multiplicity 2)
Bi 0.5000 0.5000 0.0000 (multiplicity 1)
O 0.0000 0.0000 0.5000 (multiplicity 1)

Results
* density of states at the Fermi level: 3.2 states/eV per cell
* ρ: 6.776 g/cm3
* total DFT energy (no corrections): -4.37 eV per atom
* magnetic moment: 1.532 Bohr magnetons per cell

(2)
Compound: CrGaBiO6
Source: the Alexandria database
Functional: PBE with a Hubbard U
Structure: relaxed

abc: 4.6876 4.6876 9.4424
angles: 90.00 90.00 90.00
Space group P4_2nm (No. 102)
Inequivalent atoms, fractional coordinates:
Cr 0.0000 0.0000 0.0000 (multiplicity 2)
Ga 0.0000 0.0000 0.3341 (multiplicity 2)
Bi 0.0000 0.0000 0.6679 (multiplicity 2)
O 0.1795 0.1795 0.1646 (multiplicity 4)
O 0.1984 0.1984 0.8471 (multiplicity 4)
O 0.2074 0.2074 0.4921 (multiplicity 4)

Results
* ρ: 6.830 g/cm3
* total DFT energy (no corrections): -6.22 eV per atom
* magnetic moment: 3.999 Bohr magnetons per cell

(3)
Compound: Cr4Ga3BiO12
Source: the Alexandria database
Functional: PBE with a Hubbard U
Structure: relaxed

abc: 7.5123 7.5123 7.5123
angles: 90.00 90.00 90.00
Space group Im-3 (No. 204)
Inequivalent atoms, fractional coordinates:
Cr 0.2500 0.2500 0.2500 (multiplicity 8)
Ga 0.0000 0.0000 0.5000 (multiplicity 6)
Bi 0.0000 0.0000 0.0000 (multiplicity 2)
O 0.0000 0.1757 0.3112 (multiplicity 24)

Results
* density of states at the Fermi level: 0.0 states/eV per cell
* ρ: 6.409 g/cm3
* total DFT energy (no corrections): -6.84 eV per atom
* magnetic moment: 24.000 Bohr magnetons per cell